[1]
Material: FeTcHRu2
Method: DFT, PBE
State: relaxed

abc: 3.8385 3.8385 3.7536
angles: 90.00 90.00 90.00
Last column: nearest neighbours and their distance in Å.
Fractional positions:
Fe (0.0000, 0.0000, 0.0000)  2 H 1.88
Tc (0.5000, 0.5000, 0.0000)  8 Ru 2.68, 4 Fe 2.71
H (0.0000, 0.0000, 0.5000)  2 Fe 1.88, 4 Ru 1.92
Ru (0.0000, 0.5000, 0.5000)  2 H 1.92
Ru (0.5000, 0.0000, 0.5000)  2 H 1.92

Values from the calculation:
V, Å³/cell: 55.31
Total magnetization, μB per formula unit: 0.4
Total DFT energy (no corrections), eV per atom: -8.051

[2]
Material: FeTcHRu2
Method: DFT, PBE
State: relaxed

abc: 3.8351 3.8351 3.8530
angles: 90.00 90.00 90.00
Last column: nearest neighbours and their distance in Å.
Fractional positions:
Fe (0.0000, 0.0000, 0.0000)  4 Tc 2.71, 8 Ru 2.72
Tc (0.5000, 0.5000, 0.0000)  2 H 1.93
H (0.5000, 0.5000, 0.5000)  4 Ru 1.92, 2 Tc 1.93
Ru (0.0000, 0.5000, 0.5000)  2 H 1.92
Ru (0.5000, 0.0000, 0.5000)  2 H 1.92

Values from the calculation:
V, Å³/cell: 56.67
Total magnetization, μB per formula unit: 1.0
Total DFT energy (no corrections), eV per atom: -8.014

[3]
Material: TiFe2HRu
Method: DFT, PBE
State: relaxed

abc: 3.6242 3.6242 4.1813
angles: 90.00 90.00 90.00
Last column: nearest neighbours and their distance in Å.
Fractional positions:
Ti (0.0000, 0.0000, 0.0000)  2 H 2.09
Fe (0.0000, 0.5000, 0.5000)  2 H 1.81
Fe (0.5000, 0.0000, 0.5000)  2 H 1.81
H (0.0000, 0.0000, 0.5000)  4 Fe 1.81
Ru (0.5000, 0.5000, 0.0000)  4 Ti 2.56, 8 Fe 2.77

Values from the calculation:
V, Å³/cell: 54.92
Total magnetization, μB per formula unit: 4.7
Total DFT energy (no corrections), eV per atom: -7.651

[4]
Material: TiFeHRu2
Method: DFT, PBE
State: relaxed

abc: 3.8698 3.8698 3.8395
angles: 90.00 90.00 90.00
Last column: nearest neighbours and their distance in Å.
Fractional positions:
Ti (0.0000, 0.0000, 0.0000)  2 H 1.92
Fe (0.5000, 0.5000, 0.0000)  8 Ru 2.73, 4 Ti 2.74
H (0.0000, 0.0000, 0.5000)  2 Ti 1.92, 4 Ru 1.93
Ru (0.0000, 0.5000, 0.5000)  2 H 1.93
Ru (0.5000, 0.0000, 0.5000)  2 H 1.93

Values from the calculation:
V, Å³/cell: 57.50
Total magnetization, μB per formula unit: 2.1
Total DFT energy (no corrections), eV per atom: -7.807

[5]
Material: TiFe2HRu
Method: DFT, PBE
State: relaxed

abc: 3.6719 3.6719 4.0864
angles: 90.00 90.00 90.00
Last column: nearest neighbours and their distance in Å.
Fractional positions:
Ti (0.0000, 0.0000, 0.0000)  4 Ru 2.60, 8 Fe 2.75
Fe (0.0000, 0.5000, 0.5000)  2 H 1.84
Fe (0.5000, 0.0000, 0.5000)  2 H 1.84
H (0.5000, 0.5000, 0.5000)  4 Fe 1.84, 2 Ru 2.04
Ru (0.5000, 0.5000, 0.0000)  2 H 2.04

Values from the calculation:
V, Å³/cell: 55.10
Total magnetization, μB per formula unit: 4.6
Total DFT energy (no corrections), eV per atom: -7.644

[6]
Material: Ti2FeHRu
Method: DFT, PBE
State: relaxed

abc: 4.2398 4.2398 3.2151
angles: 90.00 90.00 90.00
Last column: nearest neighbours and their distance in Å.
Fractional positions:
Ti (0.0000, 0.5000, 0.0000)  2 H 2.12
Ti (0.5000, 0.0000, 0.0000)  2 H 2.12
Fe (0.0000, 0.0000, 0.5000)  2 H 1.61
H (0.0000, 0.0000, 0.0000)  2 Fe 1.61
Ru (0.5000, 0.5000, 0.5000)  8 Ti 2.66

Values from the calculation:
V, Å³/cell: 57.79
Total magnetization, μB per formula unit: 0.2
Total DFT energy (no corrections), eV per atom: -7.832